Entry 1:
The following is a DFT calculation (PBE-GGA) of a relaxed structure of BiAsOF2.

Values from the calculation:
VASP energy (Ha/atom): -0.158
Uncorrected formation energy (meV per atom): -852
Crystal system: tetragonal
Space-group type: P4/mmm, No. 123
Offset from the most stable computed form (meV/atom): 22
M_tot (μB per formula unit): 2.03
D(E_F) (states/eV/f.u.): 2.15

Structure (POSCAR):
```
BiAsOF2
1.0
4.5593 0.0000 0.0000
0.0000 4.5593 0.0000
0.0000 0.0000 4.6099
F As O Bi
2 1 1 1
Cartesian
0.0000 2.2796 0.0000
2.2796 0.0000 0.0000
2.2796 2.2796 2.3050
0.0000 0.0000 2.3050
0.0000 0.0000 0.0000
```

=====

Entry 2:
The following is a DFT calculation (PBE-GGA) of a relaxed structure of K2HfNb.

Values from the calculation:
VASP energy (Ha/atom): -0.131
Calculated formation energy (kJ/mol of formula units): 765
Crystal system: cubic
Space-group type: Fm-3m, No. 225
Offset from the most stable computed form (meV/atom): 390
M_tot (μB per formula unit): 2.17
D(E_F) (states/eV/f.u.): 8.20

Structure (POSCAR):
```
K2HfNb
1.0
0.0000 4.0091 4.0091
4.0091 0.0000 4.0091
4.0091 4.0091 0.0000
Nb Hf K
1 1 2
Cartesian
0.0000 0.0000 0.0000
4.0091 4.0091 4.0091
2.0045 2.0045 2.0045
6.0136 6.0136 6.0136
```

=====

Entry 3:
The following is a DFT calculation (PBE-GGA) of a relaxed structure of UAlSn2.

Values from the calculation:
VASP energy (Ha/atom): -0.202
Calculated formation energy (kJ/mol of formula units): 103
Crystal system: trigonal
Space-group type: R3m, No. 160
M_tot (μB per formula unit): 2.95
D(E_F) (states/eV/f.u.): 4.72

Structure (POSCAR):
```
UAlSn2
1.0
4.2973 0.0000 0.0000
2.1487 3.7216 0.0000
2.1487 1.2405 6.7258
Al Sn U
1 2 1
Cartesian
4.2973 2.4811 3.4036
2.1487 1.2405 4.8334
2.1487 1.2405 1.8527
6.4460 3.7216 6.7248
```

=====

Entry 4:
The following is a DFT calculation (PBE-GGA) of a relaxed structure of V4MoRh7.

Values from the calculation:
VASP energy (Ha/atom): -0.299
Calculated formation energy (kJ/mol of formula units): 114
Crystal system: monoclinic
Space-group type: C2/m, No. 12
M_tot (μB per formula unit): 0.00
D(E_F) (states/eV/f.u.): 12.23

Structure (POSCAR):
```
V4MoRh7
1.0
4.5350 0.0000 0.0000
2.2675 7.2236 0.0379
2.2675 0.3200 5.6431
Rh Mo V
7 1 4
Cartesian
6.8025 2.7860 4.5368
4.5350 4.5240 4.0570
4.5350 3.0196 1.6239
2.2675 1.0241 2.4930
2.2675 4.7577 1.1441
6.8025 6.5196 3.1880
2.2675 0.0000 0.0000
0.0000 0.0000 0.0000
2.2675 2.4848 0.4909
6.8025 5.0588 5.1900
4.5350 5.7561 2.1051
4.5350 1.7875 3.5758
```

=====

Entry 5:
The following is a DFT calculation (PBE-GGA) of a relaxed structure of BeAu3.

Values from the calculation:
VASP energy (Ha/atom): -0.122
Calculated formation energy (kJ/mol of formula units): 27
Crystal system: orthorhombic
Space-group type: Pmmn, No. 59
M_tot (μB per formula unit): 0.00
D(E_F) (states/eV/f.u.): 0.87

Structure (POSCAR):
```
BeAu3
1.0
4.5665 0.0000 0.0000
0.0000 4.9173 0.0000
0.0000 0.0000 5.7491
Au Be
6 2
Cartesian
0.0000 0.8395 1.4319
2.2833 1.7257 0.0000
2.2833 4.0778 4.3065
0.0000 3.1916 2.8746
2.2833 4.0778 1.4427
0.0000 0.8395 4.3173
0.0000 3.4245 0.0000
2.2833 1.4928 2.8746
```

=====

Entry 6:
The following is a DFT calculation (PBE-GGA) of a relaxed structure of KBaSr6.

Values from the calculation:
VASP energy (Ha/atom): -0.059
Calculated formation energy (kJ/mol of formula units): 35
Crystal system: orthorhombic
Space-group type: Amm2, No. 38
M_tot (μB per formula unit): 0.00
D(E_F) (states/eV/f.u.): 7.59

Structure (POSCAR):
```
KBaSr6
1.0
7.1045 0.0000 0.0000
0.0000 7.8771 -3.6301
0.0000 -0.8199 8.6345
Sr K Ba
6 1 1
Cartesian
0.0000 2.1109 4.5014
3.5522 1.0431 2.2772
0.0000 5.9704 2.7340
0.0000 2.5020 0.2745
3.5522 4.5631 4.7733
0.0000 6.4363 -1.5983
3.5522 0.6305 6.5891
3.5522 4.9724 0.4661
```

=====

Entry 7:
The following is a DFT calculation (PBE-GGA) of a relaxed structure of Na2Sn2Te.

Values from the calculation:
VASP energy (Ha/atom): -0.107
Uncorrected formation energy (meV per atom): -166
Crystal system: tetragonal
Space-group type: P4/mbm, No. 127
Offset from the most stable computed form (meV/atom): 80
M_tot (μB per formula unit): 0.00
D(E_F) (states/eV/f.u.): 2.72

Structure (POSCAR):
```
Na2Sn2Te
1.0
-3.5626 5.0756 5.1623
-0.9746 -6.0374 5.2634
4.1723 0.9890 1.9070
Na Sn Te
4 4 2
Cartesian
-1.1205 -1.0699 8.7804
-1.1737 2.7189 6.9320
0.8087 -2.6917 5.4007
0.7555 1.0971 3.5523
-2.1775 -3.3770 6.5154
-3.7200 0.6402 7.8069
-0.8173 -1.6019 2.6188
-2.3598 2.4152 3.9103
0.0000 0.0000 0.0000
-2.2686 -0.4809 5.2129
```

=====

Entry 8:
The following is a DFT calculation (PBE-GGA) of a relaxed structure of Tb3Sc2Sb3.

Values from the calculation:
VASP energy (Ha/atom): -0.213
Uncorrected formation energy (meV per atom): -927
Crystal system: hexagonal
Space-group type: P6_3/mcm, No. 193
M_tot (μB per formula unit): 0.76
D(E_F) (states/eV/f.u.): 7.37

Structure (POSCAR):
```
Tb3Sc2Sb3
1.0
6.1283 0.0000 0.0000
0.0000 8.8193 0.0000
0.0000 -4.4096 7.6377
Sb Tb Sc
6 6 4
Cartesian
1.5321 2.6664 4.6184
1.5321 3.4864 0.0000
1.5321 -1.7432 3.0193
4.5962 1.7432 3.0193
4.5962 5.3329 0.0000
4.5962 -2.6664 4.6184
1.5321 -3.3233 5.7561
4.5962 -1.0863 1.8816
1.5321 6.6466 0.0000
4.5962 3.3233 5.7561
4.5962 2.1727 0.0000
1.5321 1.0863 1.8816
3.0641 0.0000 5.0918
3.0641 4.4097 2.5459
0.0000 0.0000 5.0918
0.0000 4.4097 2.5459
```

=====

Entry 9:
The following is a DFT calculation (PBE-GGA) of a relaxed structure of Hf2TaPbAu.

Values from the calculation:
VASP energy (Ha/atom): -0.248
Calculated formation energy (kJ/mol of formula units): 480
Crystal system: tetragonal
Space-group type: P4/mmm, No. 123
M_tot (μB per formula unit): 0.00
D(E_F) (states/eV/f.u.): 3.62

Structure (POSCAR):
```
Hf2TaPbAu
1.0
-2.7442 -3.0562 -3.0033
3.9484 -3.6104 0.0663
-2.0644 -2.1822 4.1070
Ta Hf Pb Au
1 2 1 1
Cartesian
0.0000 0.0000 0.0000
-1.0322 -1.0911 2.0535
-1.3721 -1.5281 -1.5017
1.9742 -1.8052 0.0331
-0.4301 -4.4245 0.5850
```

=====

Entry 10:
The following is a DFT calculation (PBE-GGA) of a relaxed structure of CoMoRh2.

Values from the calculation:
VASP energy (Ha/atom): -0.300
Calculated formation energy (kJ/mol of formula units): 3
Crystal system: tetragonal
Space-group type: P4mm, No. 99
Offset from the most stable computed form (meV/atom): 121
M_tot (μB per formula unit): 2.02
D(E_F) (states/eV/f.u.): 5.55

Structure (POSCAR):
```
CoMoRh2
1.0
-1.3982 -0.7820 -2.1977
-2.0283 -0.8574 1.5960
-3.1570 6.7417 -0.3903
Mo Co Rh
1 1 2
Cartesian
-4.0427 4.1550 -0.5888
-1.5681 3.3487 -0.1939
-2.5558 0.9795 -0.4050
-3.1523 6.7318 -0.3897
```

=====

Please write out number 2 again, unchanged.
The following is a DFT calculation (PBE-GGA) of a relaxed structure of K2HfNb.

Values from the calculation:
VASP energy (Ha/atom): -0.131
Calculated formation energy (kJ/mol of formula units): 765
Crystal system: cubic
Space-group type: Fm-3m, No. 225
Offset from the most stable computed form (meV/atom): 390
M_tot (μB per formula unit): 2.17
D(E_F) (states/eV/f.u.): 8.20

Structure (POSCAR):
```
K2HfNb
1.0
0.0000 4.0091 4.0091
4.0091 0.0000 4.0091
4.0091 4.0091 0.0000
Nb Hf K
1 1 2
Cartesian
0.0000 0.0000 0.0000
4.0091 4.0091 4.0091
2.0045 2.0045 2.0045
6.0136 6.0136 6.0136
```

=====

Which of these has the highest VASP energy?
KBaSr6

=====

Among the records above, which one has the highest D(E_F)?
V4MoRh7

=====

What is the VASP energy in the eighth record?
-0.213 Ha/atom